1.
A geometry-optimized CdInCu structure, computed with PBE.

```
CdInCu
1.0
-1.518 1.518 6.439
1.518 -1.518 6.439
1.518 1.518 -6.439
Cd In Cu
1 1 1
Cartesian
0.000 0.000 0.000 Cd
0.000 0.000 3.746 In
0.000 0.000 8.269 Cu
```

Summary:
space-group type = I4mm (107)
E_tot = -2.47 eV/atom
energy of formation from the pure elements = 0.11 eV per atom

---

2.
A geometry-optimized Cd2InCu structure, computed with PBE.

```
Cd2InCu
1.0
-2.181 2.181 4.285
2.181 -2.181 4.285
2.181 2.181 -4.285
Cd In Cu
2 1 1
Cartesian
0.000 0.000 0.000 Cd
0.000 2.181 2.142 Cd
0.000 0.000 4.285 In
2.181 0.000 2.142 Cu
```

Summary:
space-group type = I-4m2 (119)
E_tot = -2.03 eV/atom
energy of formation from the pure elements = 0.13 eV per atom

---

3.
A geometry-optimized Cd2InCu structure, computed with PBE.

```
Cd2InCu
1.0
-2.106 2.106 9.995
2.106 -2.106 9.995
2.106 2.106 -9.995
Cd In Cu
4 2 2
Cartesian
3.159 0.981 -2.499 Cd
0.981 1.053 2.499 Cd
-1.053 1.125 7.496 Cd
1.125 1.053 12.494 Cd
2.106 0.000 4.998 In
0.000 0.000 9.995 In
0.000 0.000 0.000 Cu
0.000 2.106 4.998 Cu
```

Summary:
space-group type = I-42d (122)
E_tot = -1.98 eV/atom
energy of formation from the pure elements = 0.19 eV per atom

---

4.
A geometry-optimized CdInCu2 structure, computed with PBE.

```
CdInCu2
1.0
3.072 0.000 0.000
0.000 3.398 0.000
0.000 0.000 6.708
Cd In Cu
1 1 2
Cartesian
0.000 0.000 0.000 Cd
1.536 1.699 4.439 In
0.000 0.000 2.758 Cu
1.536 1.699 1.645 Cu
```

Summary:
space-group type = Pmm2 (25)
E_tot = -2.88 eV/atom
energy of formation from the pure elements = 0.08 eV per atom

---

5.
A geometry-optimized CdInCu2 structure, computed with PBE.

```
CdInCu2
1.0
1.574 0.909 8.374
-1.574 0.909 8.374
0.000 -1.817 8.374
Cd In Cu
1 1 2
Cartesian
0.000 0.000 0.000 Cd
0.000 0.000 12.560 In
0.000 0.000 6.257 Cu
0.000 0.000 18.864 Cu
```

Summary:
space-group type = R-3m (166)
E_tot = -2.77 eV/atom
energy of formation from the pure elements = 0.19 eV per atom

---

6.
A geometry-optimized CdInCu3 structure, computed with PBE.

```
CdInCu3
1.0
2.640 1.524 6.803
-2.640 1.524 6.803
0.000 -3.048 6.803
Cd In Cu
2 2 6
Cartesian
0.000 0.000 3.430 Cd
0.000 0.000 16.979 Cd
0.000 0.000 8.400 In
0.000 0.000 12.010 In
0.000 -1.529 5.769 Cu
-1.324 0.765 5.769 Cu
-1.324 -0.765 14.640 Cu
1.324 0.765 5.769 Cu
1.324 -0.765 14.640 Cu
0.000 1.529 14.640 Cu
```

Summary:
space-group type = R-3m (166)
E_tot = -3.17 eV/atom
ΔE to the lowest computed polymorph = 0 meV per atom
energy of formation from the pure elements = 0.02 eV per atom

---

7.
A geometry-optimized Cd2InCu2 structure, computed with PBE.

```
Cd2InCu2
1.0
8.096 0.000 0.000
0.000 8.096 0.000
0.000 0.000 2.895
Cd In Cu
4 2 4
Cartesian
1.045 3.002 0.000 Cd
3.002 7.050 0.000 Cd
5.093 1.045 0.000 Cd
7.050 5.093 0.000 Cd
0.000 0.000 0.000 In
4.048 4.048 0.000 In
1.368 5.415 1.448 Cu
2.680 1.368 1.448 Cu
5.415 6.728 1.448 Cu
6.728 2.680 1.448 Cu
```

Summary:
space-group type = P4/mbm (127)
E_tot = -2.42 eV/atom
ΔE to the lowest computed polymorph = 118 meV per atom
energy of formation from the pure elements = 0.14 eV per atom

---

8.
A geometry-optimized CdInCu structure, computed with PBE.

```
CdInCu
1.0
4.583 0.000 0.000
-2.292 3.969 0.000
0.000 0.000 3.362
Cd In Cu
1 1 1
Cartesian
0.000 0.000 0.000 Cd
2.292 1.323 1.689 In
0.000 2.646 0.909 Cu
```

Summary:
space-group type = P3m1 (156)
E_tot = -2.42 eV/atom
energy of formation from the pure elements = 0.17 eV per atom

---

9.
A geometry-optimized CdInCu2 structure, computed with PBE.

```
CdInCu2
1.0
0.000 3.246 3.246
3.246 0.000 3.246
3.246 3.246 0.000
Cd In Cu
1 1 2
Cartesian
0.000 0.000 0.000 Cd
4.869 4.869 4.869 In
1.623 1.623 1.623 Cu
3.246 3.246 3.246 Cu
```

Summary:
space-group type = F-43m (216)
E_tot = -2.77 eV/atom
energy of formation from the pure elements = 0.19 eV per atom

---

10.
A geometry-optimized Cd2InCu2 structure, computed with PBE.

```
Cd2InCu2
1.0
4.502 0.000 0.000
-2.251 3.899 0.000
0.000 0.000 5.444
Cd In Cu
2 1 2
Cartesian
0.000 2.599 2.001 Cd
2.251 1.300 3.443 Cd
0.000 0.000 0.000 In
0.000 2.599 4.730 Cu
2.251 1.300 0.715 Cu
```

Summary:
space-group type = P-3m1 (164)
E_tot = -2.53 eV/atom
ΔE to the lowest computed polymorph = 0 meV per atom
energy of formation from the pure elements = 0.02 eV per atom

---

11.
A geometry-optimized Cd2InCu structure, computed with PBE.

```
Cd2InCu
1.0
2.862 -3.978 0.000
2.862 3.978 0.000
0.000 0.000 3.674
Cd In Cu
2 1 1
Cartesian
1.431 1.989 0.000 Cd
1.431 -1.989 0.000 Cd
0.000 0.000 1.837 In
2.862 0.000 1.837 Cu
```

Summary:
space-group type = Cmmm (65)
E_tot = -2.04 eV/atom
energy of formation from the pure elements = 0.13 eV per atom

---

12.
A geometry-optimized Cd2In8Cu structure, computed with PBE.

```
Cd2In8Cu
1.0
4.623 0.000 0.000
0.000 4.623 0.000
0.000 0.000 13.001
Cd In Cu
2 8 1
Cartesian
0.000 0.000 2.386 Cd
0.000 0.000 10.615 Cd
0.000 2.311 0.000 In
0.000 2.311 4.874 In
0.000 2.311 8.127 In
2.311 0.000 0.000 In
2.311 0.000 4.874 In
2.311 0.000 8.127 In
2.311 2.311 2.508 In
2.311 2.311 10.493 In
0.000 0.000 6.500 Cu
```

Summary:
space-group type = P4/mmm (123)
E_tot = -2.49 eV/atom
energy of formation from the pure elements = 0.04 eV per atom

---

13.
A geometry-optimized Cd2InCu2 structure, computed with PBE.

```
Cd2InCu2
1.0
-1.693 1.693 8.952
1.693 -1.693 8.952
1.693 1.693 -8.952
Cd In Cu
2 1 2
Cartesian
0.000 0.000 2.264 Cd
0.000 0.000 15.640 Cd
0.000 0.000 8.952 In
1.693 0.000 4.476 Cu
0.000 1.693 4.476 Cu
```

Summary:
space-group type = I4/mmm (139)
E_tot = -2.42 eV/atom
ΔE to the lowest computed polymorph = 112 meV per atom
energy of formation from the pure elements = 0.13 eV per atom

---

14.
A geometry-optimized CdInCu structure, computed with PBE.

```
CdInCu
1.0
0.000 4.624 5.019
2.543 0.000 5.019
2.543 4.624 0.000
Cd In Cu
2 2 2
Cartesian
2.543 1.515 5.019 Cd
2.543 7.732 5.019 Cd
2.543 4.624 3.452 In
2.543 4.624 6.586 In
1.271 2.312 2.509 Cu
3.814 6.935 7.528 Cu
```

Summary:
space-group type = Fmmm (69)
E_tot = -2.57 eV/atom
energy of formation from the pure elements = 0.02 eV per atom

---

15.
A geometry-optimized CdInCu2 structure, computed with PBE.

```
CdInCu2
1.0
5.258 -1.486 0.000
5.258 1.486 0.000
-1.446 0.000 4.402
Cd In Cu
1 1 2
Cartesian
0.000 0.000 0.000 Cd
1.280 0.000 2.824 In
4.108 0.000 2.064 Cu
7.734 0.000 0.773 Cu
```

Summary:
space-group type = Cm (8)
E_tot = -2.88 eV/atom
energy of formation from the pure elements = 0.08 eV per atom

---

16.
A geometry-optimized Cd3InCu structure, computed with PBE.

```
Cd3InCu
1.0
5.056 0.000 0.000
0.000 5.056 0.000
0.000 0.000 5.056
Cd In Cu
3 1 1
Cartesian
0.000 0.000 2.528 Cd
0.000 2.528 0.000 Cd
2.528 0.000 0.000 Cd
2.528 2.528 2.528 In
0.000 0.000 0.000 Cu
```

Summary:
space-group type = Pm-3m (221)
E_tot = -1.74 eV/atom
ΔE to the lowest computed polymorph = 88 meV per atom
energy of formation from the pure elements = 0.18 eV per atom

---

17.
A geometry-optimized CdInCu2 structure, computed with PBE.

```
CdInCu2
1.0
3.168 0.000 0.000
0.000 3.400 0.000
-0.082 0.000 6.286
Cd In Cu
1 1 2
Cartesian
0.000 0.000 0.000 Cd
-0.041 0.000 3.143 In
1.511 1.700 4.740 Cu
1.575 1.700 1.546 Cu
```

Summary:
space-group type = P2/m (10)
E_tot = -2.88 eV/atom
energy of formation from the pure elements = 0.08 eV per atom

---

18.
A geometry-optimized CdIn2Cu2 structure, computed with PBE.

```
CdIn2Cu2
1.0
4.470 0.000 0.000
0.000 4.535 0.000
0.000 0.000 9.596
Cd In Cu
2 4 4
Cartesian
1.117 1.134 1.673 Cd
3.352 3.401 7.923 Cd
1.117 1.134 4.758 In
1.117 1.134 7.925 In
3.352 3.401 1.672 In
3.352 3.401 4.839 In
1.117 3.401 0.066 Cu
1.117 3.401 3.215 Cu
3.352 1.134 6.381 Cu
3.352 1.134 9.530 Cu
```

Summary:
space-group type = Pmmn (59)
E_tot = -2.89 eV/atom
energy of formation from the pure elements = 0.03 eV per atom

---

19.
A geometry-optimized Cd2InCu2 structure, computed with PBE.

```
Cd2InCu2
1.0
4.897 0.000 0.000
-2.446 6.383 0.000
-2.447 -1.951 6.216
Cd In Cu
4 2 4
Cartesian
-1.481 1.843 2.065 Cd
0.967 0.375 1.044 Cd
-0.963 4.057 5.171 Cd
1.485 2.589 4.151 Cd
-0.411 0.136 4.665 In
0.415 4.297 1.551 In
-2.792 0.401 5.889 Cu
-2.110 4.576 2.785 Cu
2.114 -0.143 3.431 Cu
2.795 4.031 0.327 Cu
```

Summary:
space-group type = P-1 (2)
E_tot = -2.50 eV/atom
ΔE to the lowest computed polymorph = 31 meV per atom
energy of formation from the pure elements = 0.05 eV per atom

---

20.
A geometry-optimized CdIn3Cu8 structure, computed with PBE.

```
CdIn3Cu8
1.0
2.531 1.461 8.201
-2.531 1.461 8.201
0.000 -2.923 8.201
Cd In Cu
1 3 8
Cartesian
0.000 0.000 0.000 Cd
0.000 0.000 9.138 In
0.000 0.000 12.242 In
0.000 0.000 21.566 In
0.000 0.000 4.584 Cu
0.000 -1.458 14.832 Cu
-1.263 0.729 14.832 Cu
-1.264 -0.730 18.941 Cu
0.000 0.000 16.888 Cu
1.263 0.729 14.832 Cu
1.264 -0.730 18.941 Cu
0.000 1.459 18.941 Cu
```

Summary:
space-group type = R3m (160)
E_tot = -3.51 eV/atom
ΔE to the lowest computed polymorph = 0 meV per atom
energy of formation from the pure elements = -0.01 eV per atom